1.
# Pr3Sm2ThSe6 PBE-GGA relaxed
# - ΔE_f (raw) (eV per formula unit) = -21.340
# - total magnetic moment (Bohr magnetons per cell) = 0.0
data_Pr3Sm2ThSe6
_space_group_name_H-M_alt 'C 1 2/m 1'
_space_group_IT_number 12
_cell_length_a 18.3866
_cell_length_b 4.2187
_cell_length_c 8.4717
_cell_angle_alpha 90.00
_cell_angle_beta 103.14
_cell_angle_gamma 90.00
loop_
_space_group_symop_operation_xyz
'x,y,z'
'-x,-y,-z'
'-x,y,-z'
'x,-y,z'
'x+1/2,y+1/2,z'
'-x+1/2,-y+1/2,-z'
'-x+1/2,y+1/2,-z'
'x+1/2,-y+1/2,z'
loop_
_atom_site_label
_atom_site_type_symbol
_atom_site_fract_x
_atom_site_fract_y
_atom_site_fract_z
Pr1 Pr 0.0000 0.0000 0.0000
Pr2 Pr 0.1653 0.5000 0.3340
Sm1 Sm 0.1658 0.5000 0.8311
Th1 Th 0.0000 0.0000 0.5000
Se1 Se 0.0020 0.5000 0.7495
Se2 Se 0.1667 0.0000 0.5888
Se3 Se 0.1693 0.0000 0.0788


2.
# Pr2SmThSe4 PBE-GGA relaxed
# - ΔE_f (raw) (eV per formula unit) = -14.043
# - total magnetic moment (Bohr magnetons per cell) = 0.0
data_Pr2SmThSe4
_space_group_name_H-M_alt 'P 1 2/m 1'
_space_group_IT_number 10
_cell_length_a 7.3287
_cell_length_b 4.2083
_cell_length_c 7.3357
_cell_angle_alpha 90.00
_cell_angle_beta 109.31
_cell_angle_gamma 90.00
loop_
_space_group_symop_operation_xyz
'x,y,z'
'-x,-y,-z'
'-x,y,-z'
'x,-y,z'
loop_
_atom_site_label
_atom_site_type_symbol
_atom_site_fract_x
_atom_site_fract_y
_atom_site_fract_z
Pr1 Pr 0.0000 0.0000 0.0000
Pr2 Pr 0.0000 0.5000 0.5000
Sm1 Sm 0.5000 0.0000 0.5000
Th1 Th 0.5000 0.5000 0.0000
Se1 Se 0.2550 0.0000 0.7495
Se2 Se 0.2569 0.5000 0.2539


3.
# PrSm4Th3Se8 PBE-GGA relaxed
# - ΔE_f (raw) (eV per formula unit) = -27.388
# - total magnetic moment (Bohr magnetons per cell) = 0.0
data_PrSm4Th3Se8
_space_group_name_H-M_alt 'R -3 m'
_space_group_IT_number 166
_space_group_name_Hall '-R 3 2"'
_cell_length_a 8.3061
_cell_length_b 8.3061
_cell_length_c 20.9461
_cell_angle_alpha 90.00
_cell_angle_beta 90.00
_cell_angle_gamma 120.00
loop_
_atom_site_label
_atom_site_type_symbol
_atom_site_fract_x
_atom_site_fract_y
_atom_site_fract_z
Pr1 Pr 0.0000 0.0000 0.0000
Sm1 Sm 0.0000 0.0000 0.5000
Sm2 Sm 0.0000 0.5000 0.5000
Th1 Th 0.0000 0.5000 0.0000
Se1 Se 0.0000 0.0000 0.2479
Se2 Se 0.0013 0.5006 0.2480


4.
# Pr3SmTh2Se6 PBE-GGA relaxed
# - ΔE_f (raw) (eV per formula unit) = -20.735
# - total magnetic moment (Bohr magnetons per cell) = 0.0
data_Pr3SmTh2Se6
_space_group_name_H-M_alt 'C 1 2/m 1'
_space_group_IT_number 12
_cell_length_a 7.3238
_cell_length_b 12.6508
_cell_length_c 7.3434
_cell_angle_alpha 90.00
_cell_angle_beta 109.42
_cell_angle_gamma 90.00
loop_
_space_group_symop_operation_xyz
'x,y,z'
'-x,-y,-z'
'-x,y,-z'
'x,-y,z'
'x+1/2,y+1/2,z'
'-x+1/2,-y+1/2,-z'
'-x+1/2,y+1/2,-z'
'x+1/2,-y+1/2,z'
loop_
_atom_site_label
_atom_site_type_symbol
_atom_site_fract_x
_atom_site_fract_y
_atom_site_fract_z
Pr1 Pr 0.0000 0.0000 0.0000
Pr2 Pr 0.0000 0.3345 0.0000
Sm1 Sm 0.0000 0.5000 0.5000
Th1 Th 0.0000 0.1670 0.5000
Se1 Se 0.2478 0.3341 0.7456
Se2 Se 0.2496 0.0000 0.7441


5.
# Pr3SmTl4Se8 PBE-GGA relaxed
# - ΔE_f (raw) (eV per formula unit) = -22.040
# - total magnetic moment (Bohr magnetons per cell) = 0.0
data_Pr3SmTl4Se8
_space_group_name_H-M_alt 'R -3 m'
_space_group_IT_number 166
_space_group_name_Hall '-R 3 2"'
_cell_length_a 8.6735
_cell_length_b 8.6735
_cell_length_c 23.2611
_cell_angle_alpha 90.00
_cell_angle_beta 90.00
_cell_angle_gamma 120.00
loop_
_atom_site_label
_atom_site_type_symbol
_atom_site_fract_x
_atom_site_fract_y
_atom_site_fract_z
Pr1 Pr 0.0000 0.5000 0.0000
Sm1 Sm 0.0000 0.0000 0.0000
Tl1 Tl 0.0000 0.0000 0.5000
Tl2 Tl 0.0000 0.5000 0.5000
Se1 Se 0.0000 0.0000 0.2623
Se2 Se 0.0045 0.5023 0.7370


6.
# PrSm3Tl4Se8 PBE-GGA relaxed
# - ΔE_f (raw) (eV per formula unit) = -22.104
# - total magnetic moment (Bohr magnetons per cell) = 0.0
data_PrSm3Tl4Se8
_space_group_name_H-M_alt 'R -3 m'
_space_group_IT_number 166
_space_group_name_Hall '-R 3 2"'
_cell_length_a 8.5903
_cell_length_b 8.5903
_cell_length_c 23.2735
_cell_angle_alpha 90.00
_cell_angle_beta 90.00
_cell_angle_gamma 120.00
loop_
_atom_site_label
_atom_site_type_symbol
_atom_site_fract_x
_atom_site_fract_y
_atom_site_fract_z
Pr1 Pr 0.0000 0.0000 0.0000
Sm1 Sm 0.0000 0.5000 0.0000
Tl1 Tl 0.0000 0.0000 0.5000
Tl2 Tl 0.0000 0.5000 0.5000
Se1 Se 0.0000 0.0000 0.2640
Se2 Se 0.0042 0.5021 0.2633